# 1
## GdTmPd (PBE-GGA)

Data for a relaxed structure of GdTmPd.

```
data_GdTmPd
_chemical_formula_sum 'Gd4 Tm4 Pd4'
_cell_length_a 6.872
_cell_length_b 6.872
_cell_length_c 6.872
_cell_angle_alpha 90.00
_cell_angle_beta 90.00
_cell_angle_gamma 90.00
_space_group_name_H-M_alt 'F -4 3 m'
_space_group_IT_number 216
_space_group_name_Hall 'F -4 2 3'
loop_
_atom_site_label
_atom_site_type_symbol
_atom_site_fract_x
_atom_site_fract_y
_atom_site_fract_z
_atom_site_occupancy
Gd1 Gd 0.000 0.000 0.000 1
Tm1 Tm 0.000 0.000 0.500 1
Pd1 Pd 0.250 0.250 0.250 1
```

Values from the calculation:
Polymorph energy (0 for the lowest one)   0.000 eV/atom
Calculated volume   27.04 Å³/atom

# 2
## Y4Zr2Cu3N3 (PBE-GGA)

Data for a relaxed structure of Y4Zr2Cu3N3.

```
data_Y4Zr2Cu3N3
_chemical_formula_sum 'Y16 Zr8 Cu12 N12'
_cell_length_a 10.249
_cell_length_b 5.908
_cell_length_c 14.242
_cell_angle_alpha 90.00
_cell_angle_beta 103.76
_cell_angle_gamma 90.00
_space_group_name_H-M_alt 'C 1 2/c 1'
_space_group_IT_number 15
_space_group_name_Hall '-C 2yc'
loop_
_atom_site_label
_atom_site_type_symbol
_atom_site_fract_x
_atom_site_fract_y
_atom_site_fract_z
_atom_site_occupancy
Y1 Y 0.118 0.075 0.106 1
Y2 Y 0.211 0.087 0.394 1
Zr1 Zr 0.062 0.412 0.921 1
Cu1 Cu 0.000 0.333 0.250 1
Cu2 Cu 0.125 0.299 0.749 1
N1 N 0.080 0.260 0.500 1
N2 N 0.250 0.250 0.000 1
```

Values from the calculation:
Final energy   -7.388 eV per atom
Calculated volume   17.45 Å³/atom

- What is the formula in the second record?
  Y4Zr2Cu3N3